The following is a PBE calculation of a geometry-optimized Ba6Sn2I3Br structure, from the Alexandria database.

```
data_Ba6Sn2I3Br
_chemical_formula_sum 'Ba12 Sn4 I6 Br2'
_symmetry_space_group_name_H-M 'C 1 2/m 1'
_symmetry_Int_Tables_number 12
_cell_length_a 22.3603
_cell_length_b 5.0721
_cell_length_c 10.2123
_cell_angle_alpha 90.00
_cell_angle_beta 104.24
_cell_angle_gamma 90.00
loop_
_symmetry_equiv_pos_as_xyz
'x,y,z'
'-x,-y,-z'
'-x,y,-z'
'x,-y,z'
'x+1/2,y+1/2,z'
'-x+1/2,-y+1/2,-z'
'-x+1/2,y+1/2,-z'
'x+1/2,-y+1/2,z'
loop_
_atom_site_label
_atom_site_type_symbol
_atom_site_fract_x
_atom_site_fract_y
_atom_site_fract_z
Ba1 Ba 0.0119 0.0000 0.2450
Ba2 Ba 0.1676 0.5000 0.1027
Ba3 Ba 0.1751 0.5000 0.5609
Sn1 Sn 0.1624 0.0000 0.3201
I1 I 0.0000 0.5000 0.5000
I2 I 0.1597 0.0000 0.8287
Br1 Br 0.0000 0.5000 0.0000
```

Formation energy from raw total energies = -1.223 eV/atom
DFT total energy = -3.38 eV per atom

---

The following is a PBE calculation of a geometry-optimized Ba6Sn2IBr3 structure, from the Alexandria database.

```
data_Ba6Sn2IBr3
_chemical_formula_sum 'Ba12 Sn4 I2 Br6'
_symmetry_space_group_name_H-M 'C 1 2/m 1'
_symmetry_Int_Tables_number 12
_cell_length_a 21.5954
_cell_length_b 5.0118
_cell_length_c 9.9264
_cell_angle_alpha 90.00
_cell_angle_beta 100.33
_cell_angle_gamma 90.00
loop_
_symmetry_equiv_pos_as_xyz
'x,y,z'
'-x,-y,-z'
'-x,y,-z'
'x,-y,z'
'x+1/2,y+1/2,z'
'-x+1/2,-y+1/2,-z'
'-x+1/2,y+1/2,-z'
'x+1/2,-y+1/2,z'
loop_
_atom_site_label
_atom_site_type_symbol
_atom_site_fract_x
_atom_site_fract_y
_atom_site_fract_z
Ba1 Ba 0.0092 0.0000 0.2655
Ba2 Ba 0.1722 0.5000 0.5710
Ba3 Ba 0.1746 0.5000 0.0982
Sn1 Sn 0.1634 0.0000 0.3226
I1 I 0.0000 0.5000 0.0000
Br1 Br 0.0000 0.5000 0.5000
Br2 Br 0.1576 0.0000 0.8317
```

Formation energy from raw total energies = -1.299 eV/atom
DFT total energy = -3.48 eV per atom

---

The following is a PBE calculation of a geometry-optimized BaTaIBr2 structure, from the Alexandria database.

```
data_BaTaIBr2
_chemical_formula_sum 'Ba1 Ta1 I1 Br2'
_symmetry_space_group_name_H-M 'P 4/m m m'
_symmetry_Int_Tables_number 123
_symmetry_space_group_name_Hall '-P 4 2'
_cell_length_a 6.5588
_cell_length_b 6.5588
_cell_length_c 5.1715
_cell_angle_alpha 90.00
_cell_angle_beta 90.00
_cell_angle_gamma 90.00
loop_
_atom_site_label
_atom_site_type_symbol
_atom_site_fract_x
_atom_site_fract_y
_atom_site_fract_z
Ba1 Ba 0.0000 0.0000 0.0000
Ta1 Ta 0.5000 0.5000 0.0000
I1 I 0.5000 0.5000 0.5000
Br1 Br 0.0000 0.5000 0.5000
```

Formation energy from raw total energies = 0.306 eV/atom
DFT total energy = -3.43 eV per atom

---

The following is a PBE calculation of a geometry-optimized BaTiI2Br structure, from the Alexandria database.

```
data_BaTiI2Br
_chemical_formula_sum 'Ba1 Ti1 I2 Br1'
_symmetry_space_group_name_H-M 'P 4/m m m'
_symmetry_Int_Tables_number 123
_symmetry_space_group_name_Hall '-P 4 2'
_cell_length_a 5.3826
_cell_length_b 5.3826
_cell_length_c 7.0802
_cell_angle_alpha 90.00
_cell_angle_beta 90.00
_cell_angle_gamma 90.00
loop_
_atom_site_label
_atom_site_type_symbol
_atom_site_fract_x
_atom_site_fract_y
_atom_site_fract_z
Ba1 Ba 0.0000 0.0000 0.0000
Ti1 Ti 0.0000 0.0000 0.5000
I1 I 0.0000 0.5000 0.5000
Br1 Br 0.5000 0.5000 0.0000
```

Formation energy from raw total energies = -0.758 eV/atom
DFT total energy = -3.68 eV per atom

---

The following is a PBE calculation of a geometry-optimized BaTl2I2Br2 structure, from the Alexandria database.

```
data_BaTl2I2Br2
_chemical_formula_sum 'Ba2 Tl4 I4 Br4'
_symmetry_space_group_name_H-M 'C 1 2/m 1'
_symmetry_Int_Tables_number 12
_cell_length_a 16.6371
_cell_length_b 4.8373
_cell_length_c 9.2197
_cell_angle_alpha 90.00
_cell_angle_beta 118.26
_cell_angle_gamma 90.00
loop_
_symmetry_equiv_pos_as_xyz
'x,y,z'
'-x,-y,-z'
'-x,y,-z'
'x,-y,z'
'x+1/2,y+1/2,z'
'-x+1/2,-y+1/2,-z'
'-x+1/2,y+1/2,-z'
'x+1/2,-y+1/2,z'
loop_
_atom_site_label
_atom_site_type_symbol
_atom_site_fract_x
_atom_site_fract_y
_atom_site_fract_z
Ba1 Ba 0.0000 0.0000 0.0000
Tl1 Tl 0.1448 0.0000 0.5694
I1 I 0.0295 0.5000 0.7580
Br1 Br 0.2088 0.0000 0.2854
```

Formation energy from raw total energies = -1.249 eV/atom
DFT total energy = -3.12 eV per atom

---

The following is a PBE calculation of a geometry-optimized Ba4TlIBr2 structure, from the Alexandria database.

```
data_Ba4TlIBr2
_chemical_formula_sum 'Ba4 Tl1 I1 Br2'
_symmetry_space_group_name_H-M 'P 1 2/m 1'
_symmetry_Int_Tables_number 10
_cell_length_a 8.5438
_cell_length_b 4.7673
_cell_length_c 8.8916
_cell_angle_alpha 90.00
_cell_angle_beta 108.59
_cell_angle_gamma 90.00
loop_
_symmetry_equiv_pos_as_xyz
'x,y,z'
'-x,-y,-z'
'-x,y,-z'
'x,-y,z'
loop_
_atom_site_label
_atom_site_type_symbol
_atom_site_fract_x
_atom_site_fract_y
_atom_site_fract_z
Ba1 Ba 0.2469 0.0000 0.2296
Ba2 Ba 0.2507 0.5000 0.7595
Tl1 Tl 0.5000 0.0000 0.0000
I1 I 0.5000 0.5000 0.5000
Br1 Br 0.0000 0.0000 0.5000
Br2 Br 0.0000 0.5000 0.0000
```

Formation energy from raw total energies = -1.239 eV/atom
DFT total energy = -3.11 eV per atom

---

The following is a PBE calculation of a geometry-optimized BaTlIBr2 structure, from the Alexandria database.

```
data_BaTlIBr2
_chemical_formula_sum 'Ba1 Tl1 I1 Br2'
_symmetry_space_group_name_H-M 'P 4/m m m'
_symmetry_Int_Tables_number 123
_symmetry_space_group_name_Hall '-P 4 2'
_cell_length_a 6.2547
_cell_length_b 6.2547
_cell_length_c 6.8317
_cell_angle_alpha 90.00
_cell_angle_beta 90.00
_cell_angle_gamma 90.00
loop_
_atom_site_label
_atom_site_type_symbol
_atom_site_fract_x
_atom_site_fract_y
_atom_site_fract_z
Ba1 Ba 0.0000 0.0000 0.0000
Tl1 Tl 0.5000 0.5000 0.5000
I1 I 0.0000 0.0000 0.5000
Br1 Br 0.0000 0.5000 0.0000
```

Formation energy from raw total energies = -1.371 eV/atom
DFT total energy = -3.21 eV per atom

---

The following is a PBE calculation of a geometry-optimized BaV2IBr structure, from the Alexandria database.

```
data_BaV2IBr
_chemical_formula_sum 'Ba1 V2 I1 Br1'
_symmetry_space_group_name_H-M 'P 4/m m m'
_symmetry_Int_Tables_number 123
_symmetry_space_group_name_Hall '-P 4 2'
_cell_length_a 6.6123
_cell_length_b 6.6123
_cell_length_c 6.3299
_cell_angle_alpha 90.00
_cell_angle_beta 90.00
_cell_angle_gamma 90.00
loop_
_atom_site_label
_atom_site_type_symbol
_atom_site_fract_x
_atom_site_fract_y
_atom_site_fract_z
Ba1 Ba 0.0000 0.0000 0.0000
V1 V 0.0000 0.5000 0.0000
I1 I 0.0000 0.0000 0.5000
Br1 Br 0.5000 0.5000 0.5000
```

Formation energy from raw total energies = 1.305 eV/atom
DFT total energy = -3.37 eV per atom

---

The following is a PBE calculation of a geometry-optimized BaZn2IBr structure, from the Alexandria database.

```
data_BaZn2IBr
_chemical_formula_sum 'Ba1 Zn2 I1 Br1'
_symmetry_space_group_name_H-M 'P 4/m m m'
_symmetry_Int_Tables_number 123
_symmetry_space_group_name_Hall '-P 4 2'
_cell_length_a 6.1233
_cell_length_b 6.1233
_cell_length_c 6.2074
_cell_angle_alpha 90.00
_cell_angle_beta 90.00
_cell_angle_gamma 90.00
loop_
_atom_site_label
_atom_site_type_symbol
_atom_site_fract_x
_atom_site_fract_y
_atom_site_fract_z
Ba1 Ba 0.0000 0.0000 0.0000
Zn1 Zn 0.0000 0.5000 0.5000
I1 I 0.5000 0.5000 0.0000
Br1 Br 0.0000 0.0000 0.5000
```

Formation energy from raw total energies = -0.436 eV/atom
DFT total energy = -1.97 eV per atom

---

The following is a PBE calculation of a geometry-optimized BaZnIBr2 structure, from the Alexandria database.

```
data_BaZnIBr2
_chemical_formula_sum 'Ba1 Zn1 I1 Br2'
_symmetry_space_group_name_H-M 'P 4/m m m'
_symmetry_Int_Tables_number 123
_symmetry_space_group_name_Hall '-P 4 2'
_cell_length_a 6.6295
_cell_length_b 6.6295
_cell_length_c 6.3086
_cell_angle_alpha 90.00
_cell_angle_beta 90.00
_cell_angle_gamma 90.00
loop_
_atom_site_label
_atom_site_type_symbol
_atom_site_fract_x
_atom_site_fract_y
_atom_site_fract_z
Ba1 Ba 0.0000 0.0000 0.0000
Zn1 Zn 0.5000 0.5000 0.0000
I1 I 0.0000 0.0000 0.5000
Br1 Br 0.0000 0.5000 0.5000
```

Formation energy from raw total energies = -0.396 eV/atom
DFT total energy = -2.01 eV per atom

---

The following is a PBE calculation of a geometry-optimized Ba2InBr structure, from the Alexandria database.

```
data_Ba2InBr
_chemical_formula_sum 'Ba6 In3 Br3'
_symmetry_space_group_name_H-M 'R -3 m'
_symmetry_Int_Tables_number 166
_symmetry_space_group_name_Hall '-R 3 2"'
_cell_length_a 4.6814
_cell_length_b 4.6814
_cell_length_c 27.3160
_cell_angle_alpha 90.00
_cell_angle_beta 90.00
_cell_angle_gamma 120.00
loop_
_atom_site_label
_atom_site_type_symbol
_atom_site_fract_x
_atom_site_fract_y
_atom_site_fract_z
Ba1 Ba 0.0000 0.0000 0.2493
In1 In 0.0000 0.0000 0.0000
Br1 Br 0.0000 0.0000 0.5000
```

Formation energy from raw total energies = -0.964 eV/atom
DFT total energy = -3.03 eV per atom

---

The following is a PBE calculation of a geometry-optimized BaIn3Br structure, from the Alexandria database.

```
data_BaIn3Br
_chemical_formula_sum 'Ba1 In3 Br1'
_symmetry_space_group_name_H-M 'P m -3 m'
_symmetry_Int_Tables_number 221
_symmetry_space_group_name_Hall '-P 4 2 3'
_cell_length_a 5.8805
_cell_length_b 5.8805
_cell_length_c 5.8805
_cell_angle_alpha 90.00
_cell_angle_beta 90.00
_cell_angle_gamma 90.00
loop_
_atom_site_label
_atom_site_type_symbol
_atom_site_fract_x
_atom_site_fract_y
_atom_site_fract_z
Ba1 Ba 0.0000 0.0000 0.0000
In1 In 0.0000 0.5000 0.5000
Br1 Br 0.5000 0.5000 0.5000
```

Formation energy from raw total energies = -0.089 eV/atom
DFT total energy = -2.45 eV per atom